A relaxed Pr2NdUN4 crystal, computed with GGA-PBE.

Structure (CIF):
```
data_Pr2NdUN4
_chemical_formula_sum 'Pr2 Nd1 U1 N4'
_cell_length_a 6.210
_cell_length_b 3.599
_cell_length_c 6.239
_cell_angle_alpha 90.00
_cell_angle_beta 109.08
_cell_angle_gamma 90.00
_space_group_name_H-M_alt 'P 1 2/m 1'
_space_group_IT_number 10
loop_
_space_group_symop_operation_xyz
'x,y,z'
'-x,-y,-z'
'-x,y,-z'
'x,-y,z'
loop_
_atom_site_label
_atom_site_type_symbol
_atom_site_fract_x
_atom_site_fract_y
_atom_site_fract_z
Pr1 Pr 0.000 0.000 0.000
Pr2 Pr 0.500 0.500 0.000
Nd1 Nd 0.000 0.500 0.500
U1 U 0.500 0.000 0.500
N1 N 0.278 0.000 0.717
N2 N 0.287 0.500 0.289
```

Calculated values
ΔE_f (raw), eV per atom: -1.387
DFT total energy, eV per atom: -8.752
Magnetization, μB per atom: 0.00